## TaMoCl (PBE-GGA)

Data for crystalline TaMoCl at its relaxed geometry.

Unit cell a=6.256 b=6.256 c=6.256 alpha=151.71 beta=151.71 gamma=40.43
Fractional coordinates of all 3 atoms:
1 Ta 0.679 0.679 0.000
2 Cl 0.004 0.004 0.000
3 Mo 0.317 0.317 0.000

Calculated values
excess energy over the best structure of this formula in the dataset = 0.225 eV per atom
uncorrected energy = -23.32 eV per cell